ScZn2Pt2: optimized geometry, PBE-GGA.

```
5
Lattice="-2.521 -2.178 1.384 0.335 -2.194 -2.844 3.556 -5.563 2.423" Properties=species:S:1:pos:R:3 pbc="T T T"
Zn -0.029 -4.964 1.538
Zn 1.399 -4.972 -0.575
Sc 0.000 0.000 0.000
Pt 1.510 -7.057 1.047
Pt -0.141 -2.878 -0.084
```

Values from the calculation:
Uncorrected energy: -4.9313 eV/atom
Formation energy: -0.739 eV/atom
Polymorph energy (0 for the lowest one): 18.8 kJ/mol of formula units
Symmetry: No. 139



Sc2ZnPt2: optimized geometry, PBE-GGA.

```
10
Lattice="5.292 0.000 0.000 0.000 7.121 0.000 -2.646 -3.560 5.205" Properties=species:S:1:pos:R:3 pbc="T T T"
Sc 2.646 -1.106 1.759
Sc 0.000 4.667 3.446
Sc 2.646 2.454 3.446
Sc 0.000 1.106 1.759
Zn 1.323 3.560 0.000
Zn 3.969 3.560 0.000
Pt 2.646 -2.061 4.216
Pt 0.000 5.621 0.989
Pt 0.000 2.061 4.216
Pt 2.646 1.500 0.989
```

Values from the calculation:
Uncorrected energy: -6.0918 eV/atom
Formation energy: -0.888 eV/atom
Symmetry: No. 72



ScZnPt2: optimized geometry, PBE-GGA.

```
8
Lattice="4.655 0.000 0.000 0.000 4.829 0.000 0.000 0.000 5.740" Properties=species:S:1:pos:R:3 pbc="T T T"
Pt 0.000 3.900 1.430
Pt 0.000 3.900 4.310
Pt 2.327 0.928 4.300
Pt 2.327 0.928 1.440
Sc 0.000 1.528 0.000
Sc 2.327 3.301 2.870
Zn 0.000 1.431 2.870
Zn 2.327 3.397 0.000
```

Values from the calculation:
Uncorrected energy: -5.8947 eV/atom
Formation energy: -0.973 eV/atom
Symmetry: No. 59



ScZn2Pt2: optimized geometry, PBE-GGA.

```
10
Lattice="-0.015 2.455 6.554 -6.792 -1.587 0.579 0.831 -3.129 1.174" Properties=species:S:1:pos:R:3 pbc="T T T"
Pt -5.842 -0.482 2.852
Pt -0.965 1.350 4.281
Pt -4.365 1.093 6.003
Pt -2.443 -0.225 1.130
Zn -5.320 -1.289 5.382
Zn -1.926 -0.039 6.310
Zn -4.050 -2.221 1.997
Zn -0.657 -0.972 2.925
Sc -3.404 0.434 3.567
Sc 0.000 0.000 0.000
```

Values from the calculation:
Uncorrected energy: -4.8338 eV/atom
Formation energy: -0.642 eV/atom
Polymorph energy (0 for the lowest one): 65.8 kJ/mol of formula units
Symmetry: No. 127



ScZnPt2: optimized geometry, PBE-GGA.

```
4
Lattice="-3.432 2.705 1.225 -4.205 -0.860 -1.475 -3.156 -1.507 2.892" Properties=species:S:1:pos:R:3 pbc="T T T"
Sc -5.396 0.169 1.321
Pt -8.094 0.253 1.981
Pt 0.000 0.000 0.000
Zn -2.698 0.084 0.660
```

Values from the calculation:
Uncorrected energy: -5.6265 eV/atom
Formation energy: -0.705 eV/atom
Symmetry: No. 216



ScZn2Pt: optimized geometry, PBE-GGA.

```
4
Lattice="-2.199 -4.287 -2.704 4.862 -0.447 2.586 -0.562 -1.880 2.115" Properties=species:S:1:pos:R:3 pbc="T T T"
Sc 2.150 -1.163 2.351
Pt -1.381 -3.083 -0.294
Zn 1.332 -2.367 -0.059
Zn 0.000 0.000 0.000
```

Values from the calculation:
Uncorrected energy: -4.1167 eV/atom
Formation energy: -0.387 eV/atom
Symmetry: No. 12



Sc4ZnPt5: optimized geometry, PBE-GGA.

```
10
Lattice="-1.354 2.941 0.547 -2.759 -0.996 -1.474 -5.647 -5.220 14.096" Properties=species:S:1:pos:R:3 pbc="T T T"
Pt -6.066 -2.734 9.545
Pt -4.880 -1.638 6.584
Pt -7.198 -3.780 12.369
Pt -2.562 0.505 0.799
Pt -3.694 -0.541 3.623
Sc -3.419 -3.160 8.533
Sc -1.046 -0.967 2.611
Sc -2.228 -2.060 5.562
Sc -4.601 -4.253 11.485
Zn 0.000 0.000 0.000
```

Values from the calculation:
Uncorrected energy: -6.8094 eV/atom
Formation energy: -1.129 eV/atom
Symmetry: No. 123



ScZn3Pt6: optimized geometry, PBE-GGA.

```
20
Lattice="-2.033 -2.874 2.028 6.971 -1.835 4.387 -2.923 6.191 5.843" Properties=species:S:1:pos:R:3 pbc="T T T"
Zn -0.454 3.661 6.768
Zn 2.184 0.716 5.240
Zn 2.469 -2.179 5.491
Zn 1.843 3.995 9.544
Zn -0.169 0.765 7.019
Zn 0.173 -2.513 2.715
Pt -0.062 0.306 2.408
Pt 0.166 -0.930 4.953
Pt 2.194 -0.485 7.617
Pt 4.501 -0.450 5.909
Pt -0.378 2.414 9.147
Pt -2.737 4.794 6.086
Pt 2.393 -0.933 3.111
Pt -0.179 1.966 4.642
Pt 4.752 -3.313 6.173
Pt -2.486 1.932 6.350
Pt 1.849 2.411 7.306
Pt 2.077 1.175 9.851
Sc 4.241 1.364 8.220
Sc -2.226 0.117 4.039
```

Values from the calculation:
Uncorrected energy: -5.3351 eV/atom
Formation energy: -0.695 eV/atom
Symmetry: No. 11



Sc11Zn9Pt4: optimized geometry, PBE-GGA.

```
24
Lattice="-1.876 -1.007 -2.633 3.333 -11.323 1.958 -9.948 2.939 5.964" Properties=species:S:1:pos:R:3 pbc="T T T"
Sc 1.093 -8.918 2.634
Sc -3.874 0.413 2.602
Sc -7.708 0.533 5.288
Sc -7.288 -3.915 6.691
Sc -2.741 -8.798 5.320
Sc -1.786 -2.263 2.139
Sc -1.432 -6.206 3.395
Sc 0.673 -4.470 1.231
Sc -5.182 -2.179 4.526
Sc -4.829 -6.121 5.783
Sc 0.000 0.000 0.000
Zn -4.245 -4.696 2.645
Zn -1.770 -9.028 2.538
Zn -2.838 -0.459 0.021
Zn -5.653 -8.932 5.268
Zn -0.743 -2.710 -0.611
Zn -8.150 -2.176 4.463
Zn -7.748 -6.682 5.900
Zn -6.721 -0.364 2.751
Zn -0.341 -7.216 0.826
Pt -4.517 -2.073 1.835
Pt -1.983 -4.795 1.070
Pt -3.974 -7.319 3.455
Pt -6.508 -4.597 4.219
```

Values from the calculation:
Uncorrected energy: -5.0470 eV/atom
Formation energy: -0.661 eV/atom
Symmetry: No. 65



Sc3ZnPt2: optimized geometry, PBE-GGA.

```
12
Lattice="4.682 0.000 0.000 -2.341 4.055 0.000 0.000 0.000 11.494" Properties=species:S:1:pos:R:3 pbc="T T T"
Sc 2.341 1.352 0.907
Sc 0.000 0.000 2.832
Sc 0.000 2.703 10.587
Sc 2.341 1.352 6.688
Sc 0.000 2.703 4.807
Sc 0.000 0.000 8.662
Zn 2.341 1.352 3.805
Zn 0.000 2.703 7.690
Pt 2.341 1.352 9.462
Pt 0.000 0.000 5.747
Pt 0.000 0.000 0.000
Pt 0.000 2.703 2.032
```

Values from the calculation:
Uncorrected energy: -6.3700 eV/atom
Formation energy: -0.978 eV/atom
Symmetry: No. 164



ScZn3Pt: optimized geometry, PBE-GGA.

```
5
Lattice="-3.056 -1.769 -3.564 -2.197 -2.996 3.371 -3.317 3.614 1.050" Properties=species:S:1:pos:R:3 pbc="T T T"
Sc 0.000 0.000 0.000
Zn -1.528 -0.884 -1.782
Zn -1.658 1.807 0.525
Zn -1.099 -1.498 1.686
Pt -4.285 -0.575 0.429
```

Values from the calculation:
Uncorrected energy: -2.0845 eV/atom
Formation energy: 1.154 eV/atom
Polymorph energy (0 for the lowest one): 831.9 kJ/mol of formula units
Symmetry: No. 221



ScZn2Pt: optimized geometry, PBE-GGA.

```
4
Lattice="0.000 3.154 3.154 3.154 0.000 3.154 3.154 3.154 0.000" Properties=species:S:1:pos:R:3 pbc="T T T"
Sc 0.000 0.000 0.000
Zn 4.731 4.731 4.731
Zn 1.577 1.577 1.577
Pt 3.154 3.154 3.154
```

Values from the calculation:
Uncorrected energy: -4.3983 eV/atom
Formation energy: -0.668 eV/atom
Symmetry: No. 225